[1]
Density functional theory data (PBE) for a relaxed structure of TmPu2ThTe5.

Summary:
Space-group type ... No. 123

a b c (Å): 5.438 5.438 11.754
angles (deg): 90.00 90.00 90.00
Site moments in Bohr magnetons follow the coordinates.
Atoms (fractional coordinates):
Tm1 0.000 0.000 0.500  0.13
Pu1 0.500 0.500 0.329  5.81
Pu2 0.500 0.500 0.671  5.81
Te1 0.500 0.500 0.000  -0.03
Te2 0.000 0.000 0.249  -0.03
Te3 0.500 0.000 0.500  -0.04
Te4 0.000 0.500 0.500  -0.04
Te5 0.000 0.000 0.751  -0.03
Th1 0.000 0.000 0.000  0.17

=====

[2]
Density functional theory data (PBE) for a relaxed structure of Y3Pu2ThTe6.

Summary:
Space-group type ... No. 12

a b c (Å): 4.363 8.885 9.873
angles (deg): 103.70 102.77 90.00
Site moments in Bohr magnetons follow the coordinates.
Atoms (fractional coordinates):
Th1 0.500 0.000 0.000  0.07
Te1 0.670 0.082 0.340  -0.02
Te2 0.334 0.415 0.667  -0.04
Te3 0.666 0.585 0.333  -0.04
Te4 0.001 0.742 0.002  -0.01
Te5 0.330 0.918 0.660  -0.02
Te6 0.999 0.258 0.998  -0.01
Y1 0.165 0.833 0.331  0.00
Y2 0.835 0.167 0.669  0.00
Y3 0.500 0.500 0.000  0.02
Pu1 0.166 0.331 0.331  5.58
Pu2 0.834 0.669 0.669  5.58

=====

[3]
Density functional theory data (PBE) for a relaxed structure of PuTiTe2.

Summary:
Space-group type ... No. 166

a b c (Å): 3.695 3.695 10.111
angles (deg): 79.47 79.47 60.00
Site moments in Bohr magnetons follow the coordinates.
Atoms (fractional coordinates):
Te1 0.107 0.107 0.679  -0.03
Te2 0.893 0.893 0.321  -0.03
Ti1 0.500 0.500 0.500  0.45
Pu1 0.000 0.000 0.000  5.96

=====

[4]
Density functional theory data (PBE) for a relaxed structure of Pu3TiTl3Te8.

Summary:
Space-group type ... No. 12

a b c (Å): 8.746 8.749 9.664
angles (deg): 117.04 89.94 119.95
Site moments in Bohr magnetons follow the coordinates.
Atoms (fractional coordinates):
Tl1 0.000 0.500 0.000  0.01
Tl2 0.500 0.500 0.000  -0.02
Tl3 0.000 0.000 0.000  -0.02
Ti1 0.000 0.000 0.500  0.14
Te1 0.221 0.441 0.703  0.00
Te2 0.260 0.521 0.281  -0.04
Te3 0.221 0.981 0.702  -0.09
Te4 0.238 0.018 0.297  0.00
Te5 0.740 0.479 0.719  -0.04
Te6 0.779 0.559 0.297  0.00
Te7 0.762 0.982 0.703  0.00
Te8 0.779 0.019 0.298  -0.09
Pu1 0.000 0.500 0.500  5.19
Pu2 0.500 0.000 0.500  5.19
Pu3 0.500 0.500 0.500  -5.19

=====

[5]
Density functional theory data (PBE) for a relaxed structure of Pu2TlTe3.

Summary:
Space-group type ... No. 194

a b c (Å): 4.474 4.474 23.780
angles (deg): 90.00 90.00 120.00
Site moments in Bohr magnetons follow the coordinates.
Atoms (fractional coordinates):
Tl1 0.000 0.000 0.750  0.01
Tl2 0.000 0.000 0.250  0.01
Pu1 0.667 0.333 0.078  -5.41
Pu2 0.667 0.333 0.422  -5.41
Pu3 0.333 0.667 0.922  -5.41
Pu4 0.333 0.667 0.578  -5.41
Te1 0.000 0.000 0.000  0.11
Te2 0.333 0.667 0.151  0.09
Te3 0.667 0.333 0.651  0.09
Te4 0.667 0.333 0.849  0.09
Te5 0.000 0.000 0.500  0.11
Te6 0.333 0.667 0.349  0.09

=====

[6]
Density functional theory data (PBE) for a relaxed structure of PuTlTe.

Summary:
ΔE to the lowest computed polymorph ... 0 meV per atom
Space-group type ... No. 107

a b c (Å): 3.908 3.908 6.409
angles (deg): 107.75 107.75 90.00
Site moments in Bohr magnetons follow the coordinates.
Atoms (fractional coordinates):
Pu1 0.317 0.317 0.633  5.59
Tl1 0.002 0.002 0.004  0.08
Te1 0.681 0.681 0.362  -0.07

=====

The following mass density values (in Mg/m³) correspond, in order, to the records above: 7.30, 8.04, 7.77, 7.34, 8.66, 10.83.
The following energy relative to the elements, uncorrected values (in eV/atom) correspond, in order, to the records above: -0.592, -1.204, -0.376, -0.715, -0.899, -0.381.
The following total moment values (in Bohr magnetons per cell) correspond, in order, to the records above: 12.54, 12.01, 7.33, 5.09, 22.00, 6.22.